# 1
DFT (PBEsol) results for crystalline Ho3AlC at its relaxed geometry.

Computed properties:
- ΔE_f (eV/atom) = -0.425
- SG = No. 221
- mass density (g cm⁻³) = 8.03

The structure in CIF format:
```
data_Ho3AlC
_chemical_formula_sum 'Ho3 Al1 C1'
_cell_length_a 4.798
_cell_length_b 4.798
_cell_length_c 4.798
_cell_angle_alpha 90.00
_cell_angle_beta 90.00
_cell_angle_gamma 90.00
_symmetry_space_group_name_H-M 'P 1'
_symmetry_Int_Tables_number 1
loop_
_symmetry_equiv_pos_as_xyz
'x,y,z'
loop_
_atom_site_label
_atom_site_type_symbol
_atom_site_fract_x
_atom_site_fract_y
_atom_site_fract_z
C1 C 0.500 0.500 0.500
Ho1 Ho 0.000 0.500 0.500
Ho2 Ho 0.500 0.000 0.500
Ho3 Ho 0.500 0.500 0.000
Al1 Al 0.000 0.000 0.000
```



# 2
DFT (PBEsol) results for crystalline Al2C2I at its relaxed geometry.

Computed properties:
- uncorrected formation energy (meV/atom) = 847
- SG = No. 139
- mass density (g cm⁻³) = 4.80

The structure in CIF format:
```
data_Al2C2I
_chemical_formula_sum 'Al2 C2 I1'
_cell_length_a 4.339
_cell_length_b 4.855
_cell_length_c 4.339
_cell_angle_alpha 63.45
_cell_angle_beta 90.00
_cell_angle_gamma 116.55
_symmetry_space_group_name_H-M 'P 1'
_symmetry_Int_Tables_number 1
loop_
_symmetry_equiv_pos_as_xyz
'x,y,z'
loop_
_atom_site_label
_atom_site_type_symbol
_atom_site_fract_x
_atom_site_fract_y
_atom_site_fract_z
I1 I 0.000 0.000 0.000
C1 C 0.590 0.181 0.410
C2 C 0.410 0.819 0.590
Al1 Al 0.750 0.500 0.750
Al2 Al 0.250 0.500 0.250
```



# 3
DFT (PBEsol) results for crystalline AlCI2O at its relaxed geometry.

Computed properties:
- uncorrected formation energy (meV/atom) = 546
- SG = No. 123
- mass density (g cm⁻³) = 4.81

The structure in CIF format:
```
data_AlCI2O
_chemical_formula_sum 'Al1 C1 I2 O1'
_cell_length_a 3.385
_cell_length_b 5.614
_cell_length_c 5.614
_cell_angle_alpha 90.00
_cell_angle_beta 90.00
_cell_angle_gamma 90.00
_symmetry_space_group_name_H-M 'P 1'
_symmetry_Int_Tables_number 1
loop_
_symmetry_equiv_pos_as_xyz
'x,y,z'
loop_
_atom_site_label
_atom_site_type_symbol
_atom_site_fract_x
_atom_site_fract_y
_atom_site_fract_z
I1 I 0.000 0.000 0.500
I2 I 0.000 0.500 0.000
C1 C 0.500 0.500 0.500
Al1 Al 0.000 0.000 0.000
O1 O 0.500 0.000 0.000
```



no.,total energy (eV/atom)
1,-6.1421
2,-5.0007
3,-3.9579